Computed, not measured: an optimized crystal structure of Cr2CuBiO6 at the GGA+U level of DFT. Values from VASP.

```
&SYSTEM
  ibrav = 0, nat = 10, ntyp = 4
/
ATOMIC_SPECIES
Cr 52.00 Cr.upf
Cu 63.55 Cu.upf
Bi 208.98 Bi.upf
O 16.00 O.upf
CELL_PARAMETERS angstrom
-2.020 3.501 3.581
1.684 -0.027 5.038
3.202 4.253 1.888
ATOMIC_POSITIONS crystal
Cr 0.520 0.519 0.444
Cr 0.012 0.015 0.963
Cu 0.304 0.318 0.064
Bi 0.798 0.799 0.604
O 0.649 0.239 0.236
O 0.240 0.899 0.233
O 0.898 0.628 0.240
O 0.358 0.722 0.751
O 0.717 0.162 0.761
O 0.166 0.361 0.720
```

Summary:
DOS at the Fermi energy = 3.541 states/eV per cell
total DFT energy (no corrections) = -6.567 eV per atom